1.
DFT (PBE) results for a geometry-optimized Ba3SrAu3 structure.

Unit cell a=9.299 b=4.723 c=13.233 alpha=90.00 beta=91.20 gamma=90.00
Atoms (fractional coordinates):
Ba: 0.108 0.250 0.129
Ba: 0.370 0.750 0.382
Ba: 0.374 0.750 0.873
Ba: 0.626 0.250 0.127
Ba: 0.630 0.250 0.618
Ba: 0.892 0.750 0.871
Sr: 0.129 0.250 0.627
Sr: 0.871 0.750 0.373
Au: 0.112 0.250 0.381
Au: 0.136 0.250 0.876
Au: 0.372 0.750 0.629
Au: 0.628 0.250 0.371
Au: 0.864 0.750 0.124
Au: 0.888 0.750 0.619

* size of the total moment: 0.0 μB/f.u.
* calculated total energy: -3.0859 eV per atom
* space group: No. 11
* E_form: -617 meV/atom


2.
DFT (PBE) results for a geometry-optimized BaSr2Au structure.

Unit cell a=9.666 b=9.666 c=8.819 alpha=96.92 beta=96.92 gamma=27.14
Atoms (fractional coordinates):
Ba: 0.027 0.027 0.252
Ba: 0.973 0.973 0.748
Sr: 0.188 0.188 0.609
Sr: 0.339 0.339 0.007
Sr: 0.661 0.661 0.993
Sr: 0.812 0.812 0.391
Au: 0.208 0.208 0.241
Au: 0.792 0.792 0.759

* E above lowest polymorph: 32 meV/atom
* size of the total moment: 0.0 μB/f.u.
* calculated total energy: -2.5220 eV per atom
* space group: No. 12
* E_form: -381 meV/atom